(1)
Computed, not measured: a crystal of ZrTiTc3 relaxed with PBEsol at the SCAN level of DFT.

```
data_ZrTiTc3
_symmetry_space_group_name_H-M 'P m -3 m'
_symmetry_Int_Tables_number 221
_symmetry_space_group_name_Hall '-P 4 2 3'
_cell_length_a 4.458
_cell_length_b 4.458
_cell_length_c 4.458
_cell_angle_alpha 90.00
_cell_angle_beta 90.00
_cell_angle_gamma 90.00
loop_
_atom_site_label
_atom_site_type_symbol
_atom_site_fract_x
_atom_site_fract_y
_atom_site_fract_z
_atom_site_occupancy
Zr1 Zr 0.000 0.000 0.000 1
Ti1 Ti 0.500 0.500 0.500 1
Tc1 Tc 0.000 0.500 0.500 1
```

- theoretical density (kg/m3) = 8116
- energy of formation from the pure elements (eV/f.u.) = 3.94
- energy (eV/atom) = -29.59

(2)
Computed, not measured: a crystal of Ba2ZrCo relaxed with PBEsol at the SCAN level of DFT.

```
data_Ba2ZrCo
_symmetry_space_group_name_H-M 'P 4/m m m'
_symmetry_Int_Tables_number 123
_symmetry_space_group_name_Hall '-P 4 2'
_cell_length_a 3.493
_cell_length_b 3.493
_cell_length_c 9.469
_cell_angle_alpha 90.00
_cell_angle_beta 90.00
_cell_angle_gamma 90.00
loop_
_atom_site_label
_atom_site_type_symbol
_atom_site_fract_x
_atom_site_fract_y
_atom_site_fract_z
_atom_site_occupancy
Ba1 Ba 0.000 0.000 0.200 1
Zr1 Zr 0.500 0.500 0.500 1
Co1 Co 0.500 0.500 0.000 1
```

- theoretical density (kg/m3) = 6107
- energy of formation from the pure elements (eV/f.u.) = 3.06
- energy (eV/atom) = -31.01

(3)
Computed, not measured: a crystal of La3Sc relaxed with PBEsol at the SCAN level of DFT.

```
data_La3Sc
_symmetry_space_group_name_H-M 'P -6 m 2'
_symmetry_Int_Tables_number 187
_symmetry_space_group_name_Hall 'P -6 2'
_cell_length_a 3.5085
_cell_length_b 3.5085
_cell_length_c 11.6367
_cell_angle_alpha 90.00
_cell_angle_beta 90.00
_cell_angle_gamma 120.00
loop_
_atom_site_label
_atom_site_type_symbol
_atom_site_fract_x
_atom_site_fract_y
_atom_site_fract_z
_atom_site_occupancy
La1 La 0.0000 0.0000 0.0000 1
La2 La 0.3333 0.6667 0.2671 1
Sc1 Sc 0.0000 0.0000 0.5000 1
```

- theoretical density (kg/m3) = 6180
- energy of formation from the pure elements (eV/f.u.) = 0.33
- energy (eV/atom) = -35.81

(4)
Computed, not measured: a crystal of Mn2ZnBr relaxed with PBEsol at the SCAN level of DFT.

```
data_Mn2ZnBr
_symmetry_space_group_name_H-M 'I 4/m m m'
_symmetry_Int_Tables_number 139
_symmetry_space_group_name_Hall '-I 4 2'
_cell_length_a 4.118
_cell_length_b 4.118
_cell_length_c 7.252
_cell_angle_alpha 90.00
_cell_angle_beta 90.00
_cell_angle_gamma 90.00
loop_
_atom_site_label
_atom_site_type_symbol
_atom_site_fract_x
_atom_site_fract_y
_atom_site_fract_z
_atom_site_occupancy
Mn1 Mn 0.000 0.500 0.250 1
Zn1 Zn 0.000 0.000 0.000 1
Br1 Br 0.000 0.000 0.500 1
```

- theoretical density (kg/m3) = 6891
- energy (eV/atom) = -17.02

(5)
Computed, not measured: a crystal of Li2ZnSi relaxed with PBEsol at the SCAN level of DFT.

```
data_Li2ZnSi
_symmetry_space_group_name_H-M 'P 4 m m'
_symmetry_Int_Tables_number 99
_symmetry_space_group_name_Hall 'P 4 -2'
_cell_length_a 3.114
_cell_length_b 3.114
_cell_length_c 5.938
_cell_angle_alpha 90.00
_cell_angle_beta 90.00
_cell_angle_gamma 90.00
loop_
_atom_site_label
_atom_site_type_symbol
_atom_site_fract_x
_atom_site_fract_y
_atom_site_fract_z
_atom_site_occupancy
Li1 Li 0.000 0.000 0.000 1
Li2 Li 0.500 0.500 0.271 1
Zn1 Zn 0.500 0.500 0.762 1
Si1 Si 0.000 0.000 0.512 1
```

- theoretical density (kg/m3) = 3097
- energy (eV/atom) = -7.11

(6)
Computed, not measured: a crystal of TaAgW2 relaxed with PBEsol at the SCAN level of DFT.

```
data_TaAgW2
_symmetry_space_group_name_H-M 'P 4/m m m'
_symmetry_Int_Tables_number 123
_symmetry_space_group_name_Hall '-P 4 2'
_cell_length_a 3.906
_cell_length_b 3.906
_cell_length_c 4.240
_cell_angle_alpha 90.00
_cell_angle_beta 90.00
_cell_angle_gamma 90.00
loop_
_atom_site_label
_atom_site_type_symbol
_atom_site_fract_x
_atom_site_fract_y
_atom_site_fract_z
_atom_site_occupancy
Ta1 Ta 0.000 0.000 0.000 1
Ag1 Ag 0.500 0.500 0.000 1
W1 W 0.000 0.500 0.500 1
```

- theoretical density (kg/m3) = 16856
- energy of formation from the pure elements (eV/f.u.) = 1.74
- energy (eV/atom) = -58.90

(7)
Computed, not measured: a crystal of TlAgHg2 relaxed with PBEsol at the SCAN level of DFT.

```
data_TlAgHg2
_symmetry_space_group_name_H-M 'P 4/m m m'
_symmetry_Int_Tables_number 123
_symmetry_space_group_name_Hall '-P 4 2'
_cell_length_a 3.258
_cell_length_b 3.258
_cell_length_c 8.386
_cell_angle_alpha 90.00
_cell_angle_beta 90.00
_cell_angle_gamma 90.00
loop_
_atom_site_label
_atom_site_type_symbol
_atom_site_fract_x
_atom_site_fract_y
_atom_site_fract_z
_atom_site_occupancy
Tl1 Tl 0.000 0.000 0.000 1
Ag1 Ag 0.000 0.000 0.500 1
Hg1 Hg 0.500 0.500 0.284 1
```

- theoretical density (kg/m3) = 13306
- energy of formation from the pure elements (eV/f.u.) = 0.21
- energy (eV/atom) = -59.96

(8)
Computed, not measured: a crystal of FeIr2 relaxed with PBEsol at the SCAN level of DFT.

```
data_FeIr2
_symmetry_space_group_name_H-M 'P -6 2 m'
_symmetry_Int_Tables_number 189
_symmetry_space_group_name_Hall 'P -6 -2'
_cell_length_a 7.1147
_cell_length_b 7.1147
_cell_length_c 2.6776
_cell_angle_alpha 90.00
_cell_angle_beta 90.00
_cell_angle_gamma 120.00
loop_
_atom_site_label
_atom_site_type_symbol
_atom_site_fract_x
_atom_site_fract_y
_atom_site_fract_z
_atom_site_occupancy
Fe1 Fe 0.0000 0.0000 0.0000 1
Fe2 Fe 0.3333 0.6667 0.5000 1
Ir1 Ir 0.0000 0.3636 0.0000 1
Ir2 Ir 0.0000 0.7022 0.5000 1
```

- theoretical density (kg/m3) = 18686
- energy of formation from the pure elements (eV/f.u.) = -0.21
- energy (eV/atom) = -53.51

(9)
Computed, not measured: a crystal of YMg2Pd2 relaxed with PBEsol at the SCAN level of DFT.

```
data_YMg2Pd2
_symmetry_space_group_name_H-M 'I 4/m m m'
_symmetry_Int_Tables_number 139
_symmetry_space_group_name_Hall '-I 4 2'
_cell_length_a 4.002
_cell_length_b 4.002
_cell_length_c 12.326
_cell_angle_alpha 90.00
_cell_angle_beta 90.00
_cell_angle_gamma 90.00
loop_
_atom_site_label
_atom_site_type_symbol
_atom_site_fract_x
_atom_site_fract_y
_atom_site_fract_z
_atom_site_occupancy
Y1 Y 0.000 0.000 0.000 1
Mg1 Mg 0.000 0.500 0.250 1
Pd1 Pd 0.000 0.000 0.394 1
```

- theoretical density (kg/m3) = 5894
- energy of formation from the pure elements (eV/f.u.) = -3.64
- energy (eV/atom) = -21.40

(10)
Computed, not measured: a crystal of KPb3O relaxed with PBEsol at the SCAN level of DFT.

```
data_KPb3O
_symmetry_space_group_name_H-M 'P m -3 m'
_symmetry_Int_Tables_number 221
_symmetry_space_group_name_Hall '-P 4 2 3'
_cell_length_a 5.113
_cell_length_b 5.113
_cell_length_c 5.113
_cell_angle_alpha 90.00
_cell_angle_beta 90.00
_cell_angle_gamma 90.00
loop_
_atom_site_label
_atom_site_type_symbol
_atom_site_fract_x
_atom_site_fract_y
_atom_site_fract_z
_atom_site_occupancy
K1 K 0.000 0.000 0.000 1
Pb1 Pb 0.000 0.500 0.500 1
O1 O 0.500 0.500 0.500 1
```

- theoretical density (kg/m3) = 8408
- energy (eV/atom) = -48.69

(11)
Computed, not measured: a crystal of ZrTlHg2 relaxed with PBEsol at the SCAN level of DFT.

```
data_ZrTlHg2
_symmetry_space_group_name_H-M 'F -4 3 m'
_symmetry_Int_Tables_number 216
_symmetry_space_group_name_Hall 'F -4 2 3'
_cell_length_a 7.056
_cell_length_b 7.056
_cell_length_c 7.056
_cell_angle_alpha 90.00
_cell_angle_beta 90.00
_cell_angle_gamma 90.00
loop_
_atom_site_label
_atom_site_type_symbol
_atom_site_fract_x
_atom_site_fract_y
_atom_site_fract_z
_atom_site_occupancy
Zr1 Zr 0.000 0.000 0.000 1
Tl1 Tl 0.250 0.250 0.250 1
Hg1 Hg 0.000 0.000 0.500 1
Hg2 Hg 0.250 0.250 0.750 1
```

- theoretical density (kg/m3) = 13172
- energy of formation from the pure elements (eV/f.u.) = 0.55
- energy (eV/atom) = -59.71

(12)
Computed, not measured: a crystal of ErCu2Si2 relaxed with PBEsol at the SCAN level of DFT.

```
data_ErCu2Si2
_symmetry_space_group_name_H-M 'I 4/m m m'
_symmetry_Int_Tables_number 139
_symmetry_space_group_name_Hall '-I 4 2'
_cell_length_a 3.898
_cell_length_b 3.898
_cell_length_c 9.863
_cell_angle_alpha 90.00
_cell_angle_beta 90.00
_cell_angle_gamma 90.00
loop_
_atom_site_label
_atom_site_type_symbol
_atom_site_fract_x
_atom_site_fract_y
_atom_site_fract_z
_atom_site_occupancy
Er1 Er 0.000 0.000 0.000 1
Cu1 Cu 0.000 0.500 0.250 1
Si1 Si 0.000 0.000 0.382 1
```

- theoretical density (kg/m3) = 7767
- energy (eV/atom) = -20.77